First-principles (PBE-GGA) data for a relaxed AcInPb3 crystal, as listed in the Alexandria database.

Geometry as extended XYZ:
```
10
Lattice="-3.275 3.275 10.281 3.275 -3.275 10.281 3.275 3.275 -10.281" Properties=species:S:1:pos:R:3 pbc="T T T"
Ac 0.000 0.000 4.339
Ac 0.000 0.000 16.224
In 3.275 0.000 5.141
In 0.000 0.000 10.281
Pb 1.648 3.275 -2.644
Pb 1.627 0.000 7.637
Pb 3.275 1.648 2.644
Pb 0.000 3.275 3.437
Pb 0.000 3.275 6.844
Pb 0.000 1.627 12.925
```

Summary:
* V: 441.07 Å³ per cell
* offset from the most stable computed form: 89 meV per atom
* DFT total energy: -3.59 eV per atom
* energy relative to the elements: 0.001 eV per atom